Material: KUIO6
Method: DFT, PBE
State: relaxed

- Fermi-level density of states (states/eV/f.u.) = 0.0
- uncorrected formation energy (kJ per mole of atoms) = -171.6

a = 5.7269 Å, b = 5.7269 Å, c = 11.6890 Å
α = 90.00°, β = 90.00°, γ = 120.00°
Fractional positions:
K: 0.0000 0.0000 0.0000
K: 0.0000 0.0000 0.5000
U: 0.3333 0.6667 0.2500
U: 0.6667 0.3333 0.7500
I: 0.3333 0.6667 0.7500
I: 0.6667 0.3333 0.2500
O: 0.0008 0.3800 0.6549
O: 0.0008 0.6208 0.8451
O: 0.3792 0.3800 0.8451
O: 0.3792 0.9992 0.6549
O: 0.3800 0.0008 0.1549
O: 0.3800 0.3792 0.3451
O: 0.6200 0.6208 0.6549
O: 0.6200 0.9992 0.8451
O: 0.6208 0.0008 0.3451
O: 0.6208 0.6200 0.1549
O: 0.9992 0.3792 0.1549
O: 0.9992 0.6200 0.3451